A relaxed structure of Cs2MnSnTe4. Source: the Alexandria database, functional GGA-PBE.

extended XYZ file:
```
16
Lattice="0.000 7.904 13.063 3.400 0.000 13.063 3.400 7.904 0.000" Properties=species:S:1:pos:R:3 pbc="T T T"
Cs 2.550 5.928 1.556
Cs 4.250 9.880 8.088
Cs 2.550 5.928 18.038
Cs 4.250 9.880 24.569
Mn 2.550 5.928 9.797
Mn 4.250 9.880 16.328
Sn 0.850 1.976 3.266
Sn 5.950 13.832 22.860
Te 2.566 3.513 4.843
Te 4.233 7.465 11.375
Te 2.534 8.342 4.843
Te 2.534 3.513 14.751
Te 4.266 12.294 11.375
Te 4.266 7.465 21.282
Te 2.566 8.342 14.751
Te 4.233 12.294 21.282
```

Properties
Formation energy from raw total energies (meV/atom): -615
Space-group type: No. 70

A relaxed structure of Pt2RhBr. Source: the Alexandria database, functional GGA-PBE.

extended XYZ file:
```
4
Lattice="-1.397 2.240 5.612 1.397 -2.240 5.612 1.397 2.240 -5.612" Properties=species:S:1:pos:R:3 pbc="T T T"
Pt 0.000 0.000 2.466
Pt 0.000 0.000 8.757
Rh 1.397 0.000 0.000
Br 0.000 2.240 0.000
```

Properties
Formation energy from raw total energies (meV/atom): 474
D(E_F) (states/eV per atom): 1.479
Space-group type: No. 71
E above lowest polymorph (meV/atom): 88

A relaxed structure of CaH3Ir. Source: the Alexandria database, functional GGA-PBE.

extended XYZ file:
```
20
Lattice="0.000 4.768 4.768 4.768 0.000 4.768 4.768 4.768 0.000" Properties=species:S:1:pos:R:3 pbc="T T T"
Ca 0.000 0.000 0.000
Ca 2.384 2.384 0.000
Ca 2.384 0.000 2.384
Ca 0.000 2.384 2.384
H 3.576 3.576 1.784
H 3.576 1.784 3.576
H 5.368 3.576 3.576
H 5.960 5.960 4.168
H 5.960 4.168 5.960
H 7.752 5.960 5.960
H 1.784 3.576 3.576
H 3.576 5.368 3.576
H 3.576 3.576 5.368
H 4.168 5.960 5.960
H 5.960 7.752 5.960
H 5.960 5.960 7.752
Ir 4.768 2.384 2.384
Ir 2.384 4.768 2.384
Ir 2.384 2.384 4.768
Ir 4.768 4.768 4.768
```

Properties
D(E_F) (states/eV per atom): 0.073
Space-group type: No. 227

A relaxed structure of Mn2InPb. Source: the Alexandria database, functional GGA-PBE.

extended XYZ file:
```
4
Lattice="3.166 0.000 0.000 0.000 3.166 0.000 0.000 0.000 8.175" Properties=species:S:1:pos:R:3 pbc="T T T"
Mn 0.000 0.000 0.000
Mn 1.583 1.583 1.193
In 1.583 1.583 6.342
Pb 0.000 0.000 3.292
```

Properties
D(E_F) (states/eV per atom): 0.872
Space-group type: No. 99
Formation energy (meV per atom): 275.5
E above lowest polymorph (meV/atom): 0

A relaxed structure of CaSmPa. Source: the Alexandria database, functional GGA-PBE.

extended XYZ file:
```
6
Lattice="3.528 0.000 0.000 -0.029 3.548 0.000 -0.004 -0.008 15.524" Properties=species:S:1:pos:R:3 pbc="T T T"
Ca 0.875 0.883 1.516
Ca 2.620 2.656 14.008
Sm 0.873 0.881 11.051
Sm 2.623 2.659 4.473
Pa 0.874 0.885 6.777
Pa 2.621 2.655 8.748
```

Properties
D(E_F) (states/eV per atom): 1.731
Space-group type: No. 2
Formation energy (meV per atom): 116.2

A relaxed structure of BaPO3. Source: the Alexandria database, functional GGA-PBE.

extended XYZ file:
```
10
Lattice="4.717 0.000 0.000 0.000 5.663 0.000 -1.928 0.000 6.600" Properties=species:S:1:pos:R:3 pbc="T T T"
Ba 0.124 1.416 1.819
Ba 2.665 4.247 4.781
P 0.572 1.416 5.283
P 2.218 4.247 1.317
O 0.752 4.247 0.800
O 0.251 0.135 4.462
O 0.251 2.696 4.462
O 2.539 2.967 2.138
O 2.539 5.528 2.138
O 2.037 1.416 5.800
```

Properties
Formation energy from raw total energies (meV/atom): -2438
D(E_F) (states/eV per atom): 0.060
Space-group type: No. 11

A relaxed structure of LiAc4Hg3. Source: the Alexandria database, functional GGA-PBE.

extended XYZ file:
```
8
Lattice="-2.862 2.862 8.059 2.862 -2.862 8.059 2.862 2.862 -8.059" Properties=species:S:1:pos:R:3 pbc="T T T"
Li 0.000 0.000 0.000
Ac 2.862 0.000 2.029
Ac 2.862 0.000 6.030
Ac 0.000 2.862 2.029
Ac 0.000 2.862 6.030
Hg 0.000 0.000 4.012
Hg 0.000 0.000 8.059
Hg 0.000 0.000 12.105
```

Properties
D(E_F) (states/eV per atom): 1.048
Space-group type: No. 139
Formation energy (meV per atom): -350.9

A relaxed structure of Li6Sn2Ge. Source: the Alexandria database, functional GGA-PBE.

extended XYZ file:
```
9
Lattice="7.884 0.000 0.000 -3.942 6.828 0.000 0.000 0.000 2.988" Properties=species:S:1:pos:R:3 pbc="T T T"
Li -1.285 2.225 0.000
Li -2.657 4.603 0.000
Li 2.569 0.000 0.000
Li 1.285 2.225 0.000
Li 5.315 0.000 0.000
Li 2.657 4.603 0.000
Sn 0.000 4.552 1.494
Sn 3.942 2.276 1.494
Ge 0.000 0.000 1.494
```

Properties
D(E_F) (states/eV per atom): 0.162
Space-group type: No. 191
Formation energy (meV per atom): -349.0
E above lowest polymorph (meV/atom): 0

A relaxed structure of InTcPt4. Source: the Alexandria database, functional GGA-PBE.

extended XYZ file:
```
6
Lattice="0.000 3.748 3.748 3.748 0.000 3.748 3.748 3.748 0.000" Properties=species:S:1:pos:R:3 pbc="T T T"
In 0.000 0.000 0.000
Tc 5.621 5.621 5.621
Pt 2.813 2.813 2.813
Pt 4.682 4.682 2.813
Pt 4.682 2.813 4.682
Pt 2.813 4.682 4.682
```

Properties
D(E_F) (states/eV per atom): 0.888
Space-group type: No. 216
Formation energy (meV per atom): 148.1

A relaxed structure of K2Se. Source: the Alexandria database, functional GGA-PBE.

extended XYZ file:
```
6
Lattice="6.560 -2.505 0.000 6.560 2.505 0.000 -5.500 0.000 7.368" Properties=species:S:1:pos:R:3 pbc="T T T"
K -0.908 0.000 3.483
K 4.718 0.000 0.194
K 2.903 0.000 7.174
K 8.529 0.000 3.885
Se 1.910 0.000 1.845
Se 5.711 0.000 5.523
```

Properties
Formation energy from raw total energies (meV/atom): -965
Space-group type: No. 12

A relaxed structure of Zn5AgAu2. Source: the Alexandria database, functional GGA-PBE.

extended XYZ file:
```
8
Lattice="-2.118 2.118 7.129 2.118 -2.118 7.129 2.118 2.118 -7.129" Properties=species:S:1:pos:R:3 pbc="T T T"
Zn 0.000 0.000 0.000
Zn 2.118 0.000 1.768
Zn 2.118 0.000 5.361
Zn 0.000 2.118 1.768
Zn 0.000 2.118 5.361
Ag 0.000 0.000 7.129
Au 0.000 0.000 3.613
Au 0.000 0.000 10.645
```

Properties
D(E_F) (states/eV per atom): 0.205
Space-group type: No. 139
Formation energy (meV per atom): -92.2

A relaxed structure of CsMnSbTe3. Source: the Alexandria database, functional GGA-PBE.

extended XYZ file:
```
12
Lattice="10.449 0.000 0.000 0.000 4.540 0.000 -3.852 0.000 10.232" Properties=species:S:1:pos:R:3 pbc="T T T"
Cs 1.192 1.135 2.484
Cs 5.405 3.405 7.748
Mn -1.467 1.135 6.207
Mn 8.063 3.405 4.025
Sb 0.161 3.405 8.903
Sb 6.436 1.135 1.329
Te -1.976 1.135 8.870
Te -0.009 3.405 5.503
Te 4.295 3.405 1.571
Te 2.301 1.135 8.661
Te 6.606 1.135 4.729
Te 8.572 3.405 1.362
```

Properties
Formation energy from raw total energies (meV/atom): -422
Space-group type: No. 11

Number 1: magnetic moment 9.999 μB per cell, V 43.9 Å³/atom, E_tot -64.7 eV per cell. Number 2: magnetic moment 0.000 μB per cell, V 17.6 Å³/atom, E_tot -19.2 eV per cell. Number 3: magnetic moment 0.000 μB per cell, V 10.8 Å³/atom, E_tot -87.0 eV per cell. Number 4: magnetic moment 0.109 μB per cell, V 20.5 Å³/atom, E_tot -23.7 eV per cell. Number 5: magnetic moment 0.006 μB per cell, V 32.4 Å³/atom, E_tot -31.7 eV per cell. Number 6: magnetic moment 2.001 μB per cell, V 17.6 Å³/atom, E_tot -68.8 eV per cell. Number 7: magnetic moment 0.003 μB per cell, V 33.0 Å³/atom, E_tot -22.1 eV per cell. Number 8: magnetic moment 0.000 μB per cell, V 17.9 Å³/atom, E_tot -27.2 eV per cell. Number 9: magnetic moment 3.221 μB per cell, V 17.5 Å³/atom, E_tot -36.4 eV per cell. Number 10: magnetic moment 0.000 μB per cell, V 40.4 Å³/atom, E_tot -17.1 eV per cell. Number 11: magnetic moment 0.000 μB per cell, V 16.0 Å³/atom, E_tot -16.5 eV per cell. Number 12: magnetic moment 10.003 μB per cell, V 40.4 Å³/atom, E_tot -52.2 eV per cell.